Compound: Sr2Cd3Ag12Pd
Source: the Alexandria database
Functional: PBE
Structure: relaxed

```
data_Sr2Cd3Ag12Pd
_chemical_formula_sum 'Sr6 Cd9 Ag36 Pd3'
_cell_length_a 7.0435
_cell_length_b 7.0435
_cell_length_c 30.2590
_cell_angle_alpha 90.00
_cell_angle_beta 90.00
_cell_angle_gamma 120.00
_symmetry_space_group_name_H-M 'R -3 m'
_symmetry_Int_Tables_number 166
_symmetry_space_group_name_Hall '-R 3 2"'
loop_
_atom_site_label
_atom_site_fract_x
_atom_site_fract_y
_atom_site_fract_z
_atom_site_occupancy
Sr1 0.0000 0.0000 0.1518 1
Cd1 0.0000 0.5000 0.0000 1
Ag1 0.0544 0.5272 0.0975 1
Ag2 0.0718 0.5359 0.6143 1
Pd1 0.0000 0.0000 0.5000 1
```

calculated formation energy: 66 meV per atom
uncorrected energy: -2.46 eV/atom
total moment: 0.000 μB/cell
density of states at the Fermi level: 0.39 states/eV/atom